[1]
This record from Alexandria describes an optimized crystal structure of GaNi3Rh. The functional is PBE. Values from VASP.

Geometry as Quantum ESPRESSO input:
```
&SYSTEM
  ibrav = 0, nat = 5, ntyp = 3
/
ATOMIC_SPECIES
Ni 58.69 Ni.upf
Rh 102.91 Rh.upf
Ga 69.72 Ga.upf
CELL_PARAMETERS angstrom
4.5340 0.0000 0.0000
0.0000 4.5340 0.0000
0.0000 0.0000 4.5340
ATOMIC_POSITIONS crystal
Ni 0.0000 0.5000 0.0000
Ni 0.0000 0.0000 0.5000
Ni 0.5000 0.0000 0.0000
Rh 0.0000 0.0000 0.0000
Ga 0.5000 0.5000 0.5000
```

Results
Magnetic moment (μB/cell): 3.257
Energy relative to the lowest polymorph listed for this composition (meV per atom): 702
DFT total energy (Ry/atom): -0.3275

[2]
This record from Alexandria describes an optimized crystal structure of TbTmPt6. The functional is PBE. Values from VASP.

Geometry as Quantum ESPRESSO input:
```
&SYSTEM
  ibrav = 0, nat = 8, ntyp = 3
/
ATOMIC_SPECIES
Tb 158.93 Tb.upf
Tm 168.93 Tm.upf
Pt 195.08 Pt.upf
CELL_PARAMETERS angstrom
4.1107 0.0000 0.0000
0.0000 4.1107 0.0000
0.0000 0.0000 8.2168
ATOMIC_POSITIONS crystal
Tb 0.0000 0.0000 0.0000
Tm 0.0000 0.0000 0.5000
Pt 0.5000 0.5000 0.0000
Pt 0.5000 0.5000 0.5000
Pt 0.5000 0.0000 0.2530
Pt 0.5000 0.0000 0.7470
Pt 0.0000 0.5000 0.2530
Pt 0.0000 0.5000 0.7470
```

Results
Magnetic moment (μB/cell): 0.000
DFT total energy (Ry/atom): -0.4941

[3]
This record from Alexandria describes an optimized crystal structure of LaSi2H. The functional is PBE. Values from VASP.

Geometry as Quantum ESPRESSO input:
```
&SYSTEM
  ibrav = 0, nat = 4, ntyp = 3
/
ATOMIC_SPECIES
H 1.01 H.upf
Si 28.09 Si.upf
La 138.91 La.upf
CELL_PARAMETERS angstrom
0.0000 3.4021 3.4021
3.4021 0.0000 3.4021
3.4021 3.4021 0.0000
ATOMIC_POSITIONS crystal
H 0.0000 0.0000 0.0000
Si 0.2500 0.2500 0.2500
Si 0.7500 0.7500 0.7500
La 0.5000 0.5000 0.5000
```

Results
Magnetic moment (μB/cell): 0.000
Energy relative to the lowest polymorph listed for this composition (meV per atom): 571
DFT total energy (Ry/atom): -0.3074

[4]
This record from Alexandria describes an optimized crystal structure of TlRh3. The functional is PBE. Values from VASP.

Geometry as Quantum ESPRESSO input:
```
&SYSTEM
  ibrav = 0, nat = 4, ntyp = 2
/
ATOMIC_SPECIES
Tl 204.38 Tl.upf
Rh 102.91 Rh.upf
CELL_PARAMETERS angstrom
-0.3902 1.1274 5.2298
-3.2427 4.0651 1.3171
0.5770 -4.8808 -2.1493
ATOMIC_POSITIONS crystal
Tl 0.3376 0.0000 0.3376
Rh 0.7568 0.7558 0.0009
Rh 0.2451 0.2442 0.0009
Rh 0.8271 0.5000 0.3271
```

Results
Magnetic moment (μB/cell): 0.000
DFT total energy (Ry/atom): -0.4340

[5]
This record from Alexandria describes an optimized crystal structure of CsDyBeO3. The functional is PBE. Values from VASP.

Geometry as Quantum ESPRESSO input:
```
&SYSTEM
  ibrav = 0, nat = 12, ntyp = 4
/
ATOMIC_SPECIES
Cs 132.91 Cs.upf
Dy 162.50 Dy.upf
Be 9.01 Be.upf
O 16.00 O.upf
CELL_PARAMETERS angstrom
3.4629 0.0000 0.0000
0.0000 8.2160 -0.4618
0.0000 -2.6081 7.5188
ATOMIC_POSITIONS crystal
Cs 0.2500 0.2112 0.2404
Cs 0.7500 0.7888 0.7596
Dy 0.2500 0.6646 0.1596
Dy 0.7500 0.3354 0.8404
Be 0.2500 0.0620 0.6062
Be 0.7500 0.9380 0.3938
O 0.7500 0.8582 0.1828
O 0.2500 0.1418 0.8172
O 0.2500 0.8696 0.4589
O 0.7500 0.1304 0.5411
O 0.7500 0.4790 0.1448
O 0.2500 0.5210 0.8552
```

Results
Magnetic moment (μB/cell): 0.000
Formation energy (no corrections) (eV per atom): -2.6320
DFT total energy (Ry/atom): -0.4881

[6]
This record from Alexandria describes an optimized crystal structure of CrAuSN2. The functional is PBE. Values from VASP.

Geometry as Quantum ESPRESSO input:
```
&SYSTEM
  ibrav = 0, nat = 5, ntyp = 4
/
ATOMIC_SPECIES
Cr 52.00 Cr.upf
S 32.06 S.upf
Au 196.97 Au.upf
N 14.01 N.upf
CELL_PARAMETERS angstrom
3.9938 0.0000 0.0000
0.0000 3.9938 0.0000
0.0000 0.0000 5.2948
ATOMIC_POSITIONS crystal
Cr 0.5000 0.5000 0.5000
S 0.0000 0.0000 0.5000
Au 0.0000 0.0000 0.0000
N 0.0000 0.5000 0.0000
N 0.5000 0.0000 0.0000
```

Results
Magnetic moment (μB/cell): 1.358
Formation energy (no corrections) (eV per atom): 1.6673
Energy relative to the lowest polymorph listed for this composition (meV per atom): 1096
DFT total energy (Ry/atom): -0.3725

[7]
This record from Alexandria describes an optimized crystal structure of MoOs2W. The functional is PBE. Values from VASP.

Geometry as Quantum ESPRESSO input:
```
&SYSTEM
  ibrav = 0, nat = 4, ntyp = 3
/
ATOMIC_SPECIES
Mo 95.94 Mo.upf
Os 190.23 Os.upf
W 183.84 W.upf
CELL_PARAMETERS angstrom
4.8596 -0.0018 0.0000
1.7330 4.5401 0.0000
-3.2963 -2.2691 2.7570
ATOMIC_POSITIONS crystal
Mo 0.7500 0.2500 0.5000
Os 0.0000 0.0000 0.0000
Os 0.2500 0.7500 0.5000
W 0.5000 0.5000 0.0000
```

Results
Magnetic moment (μB/cell): 0.000
Energy relative to the lowest polymorph listed for this composition (meV per atom): 48
DFT total energy (Ry/atom): -0.8416

[8]
This record from Alexandria describes an optimized crystal structure of CdGe2Bi2Pt7. The functional is PBE. Values from VASP.

Geometry as Quantum ESPRESSO input:
```
&SYSTEM
  ibrav = 0, nat = 12, ntyp = 4
/
ATOMIC_SPECIES
Cd 112.41 Cd.upf
Ge 72.64 Ge.upf
Bi 208.98 Bi.upf
Pt 195.08 Pt.upf
CELL_PARAMETERS angstrom
3.9959 -0.0023 0.0117
0.0026 3.9959 0.0117
1.9548 1.9524 15.4439
ATOMIC_POSITIONS crystal
Cd 0.0000 0.0000 0.0000
Ge 0.6169 0.6169 0.7651
Ge 0.3831 0.3831 0.2349
Bi 0.7894 0.7894 0.4217
Bi 0.2106 0.2106 0.5783
Pt 0.5000 0.5000 0.0000
Pt 0.3036 0.3036 0.3930
Pt 0.6964 0.6964 0.6070
Pt 0.9318 0.4319 0.1370
Pt 0.4319 0.9318 0.1370
Pt 0.5681 0.0682 0.8630
Pt 0.0682 0.5681 0.8630
```

Results
Magnetic moment (μB/cell): 0.000
DFT total energy (Ry/atom): -0.3899

[9]
This record from Alexandria describes an optimized crystal structure of PmAl3Co. The functional is PBE. Values from VASP.

Geometry as Quantum ESPRESSO input:
```
&SYSTEM
  ibrav = 0, nat = 20, ntyp = 3
/
ATOMIC_SPECIES
Pm 145.00 Pm.upf
Al 26.98 Al.upf
Co 58.93 Co.upf
CELL_PARAMETERS angstrom
6.6452 0.0000 0.0000
0.0000 8.1451 -1.4378
0.0000 -0.4904 7.1352
ATOMIC_POSITIONS crystal
Pm 0.0805 0.7835 0.3262
Pm 0.9195 0.2165 0.6738
Pm 0.5805 0.7165 0.6738
Pm 0.4195 0.2835 0.3262
Al 0.8880 0.5967 0.9271
Al 0.1120 0.4033 0.0729
Al 0.3880 0.9033 0.0729
Al 0.6120 0.0967 0.9271
Al 0.5578 0.6317 0.1625
Al 0.4422 0.3683 0.8375
Al 0.0578 0.8683 0.8375
Al 0.9422 0.1317 0.1625
Al 0.8518 0.4465 0.3820
Al 0.1482 0.5535 0.6180
Al 0.3518 0.0535 0.6180
Al 0.6482 0.9465 0.3820
Co 0.7497 0.3730 0.0477
Co 0.2503 0.6270 0.9523
Co 0.2497 0.1270 0.9523
Co 0.7503 0.8730 0.0477
```

Results
Magnetic moment (μB/cell): 0.000
Energy relative to the lowest polymorph listed for this composition (meV per atom): 168
DFT total energy (Ry/atom): -0.3653

[10]
This record from Alexandria describes an optimized crystal structure of Mg2Cu2Ge. The functional is PBE. Values from VASP.

Geometry as Quantum ESPRESSO input:
```
&SYSTEM
  ibrav = 0, nat = 10, ntyp = 3
/
ATOMIC_SPECIES
Ge 72.64 Ge.upf
Mg 24.30 Mg.upf
Cu 63.55 Cu.upf
CELL_PARAMETERS angstrom
-6.3735 -3.9112 1.0947
3.0149 -3.1912 6.1517
-1.0754 2.2228 1.6801
ATOMIC_POSITIONS crystal
Ge 0.0000 0.0000 0.0000
Ge 0.5000 0.5000 0.0000
Mg 0.3465 0.8465 0.0000
Mg 0.8465 0.6535 0.0000
Mg 0.6535 0.1535 0.0000
Mg 0.1535 0.3465 0.0000
Cu 0.1382 0.6382 0.5000
Cu 0.6382 0.8618 0.5000
Cu 0.8618 0.3618 0.5000
Cu 0.3618 0.1382 0.5000
```

Results
Magnetic moment (μB/cell): 0.000
Energy relative to the lowest polymorph listed for this composition (meV per atom): 275
DFT total energy (Ry/atom): -0.2267

[11]
This record from Alexandria describes an optimized crystal structure of ZrTePS2. The functional is PBE. Values from VASP.

Geometry as Quantum ESPRESSO input:
```
&SYSTEM
  ibrav = 0, nat = 5, ntyp = 4
/
ATOMIC_SPECIES
P 30.97 P.upf
S 32.06 S.upf
Te 127.60 Te.upf
Zr 91.22 Zr.upf
CELL_PARAMETERS angstrom
4.8959 0.0000 0.0000
0.0000 4.8959 0.0000
0.0000 0.0000 5.0336
ATOMIC_POSITIONS crystal
P 0.0000 0.0000 0.5000
S 0.0000 0.5000 0.0000
S 0.5000 0.0000 0.0000
Te 0.0000 0.0000 0.0000
Zr 0.5000 0.5000 0.5000
```

Results
Magnetic moment (μB/cell): 0.000
Formation energy (no corrections) (eV per atom): 0.6666
Energy relative to the lowest polymorph listed for this composition (meV per atom): 709
DFT total energy (Ry/atom): -0.3237